A plane-wave DFT calculation with GGA-PBE was carried out for a geometry-optimized Ce2CoAu structure.

Calculated values
Crystal system: tetragonal
Formation enthalpy at 0 K (kcal/mol of atoms): -8.071
Density (g cm⁻³): 10.38
Size of the total moment (Bohr magnetons per cell): 0.64

a b c (Å): 3.5548 3.5548 6.7885
angles (deg): 90.00 90.00 90.00
Closest atoms and distances in Å follow each position.
Space group P4/mmm (No. 123)
Symmetry-distinct sites (fractional):
Ce  0.0000  0.0000  0.2083 (multiplicity 2)  1 Ce 2.83, 4 Co 2.88
Co  0.5000  0.5000  0.0000 (multiplicity 1)  8 Ce 2.88
Au  0.5000  0.5000  0.5000 (multiplicity 1)  8 Ce 3.20, 2 Co 3.39, 4 Au 3.55

A plane-wave DFT calculation with GGA-PBE was carried out for a geometry-optimized Ce4Co2Au5 structure.

Calculated values
Crystal system: monoclinic
Formation enthalpy at 0 K (kcal/mol of atoms): -12.060
Density (g cm⁻³): 11.60
Size of the total moment (Bohr magnetons per cell): 1.09

a b c (Å): 7.2625 3.6825 8.9306
angles (deg): 90.00 94.74 90.00
Closest atoms and distances in Å follow each position.
Space group P2/m (No. 10)
Symmetry-distinct sites (fractional):
Ce  0.1958  0.0000  0.3441 (multiplicity 2)  2 Co 2.72
Ce  0.2235  0.0000  0.9189 (multiplicity 2)  4 Co 2.76-3.04
Co  0.0558  0.5000  0.1417 (multiplicity 2)  1 Co 2.59, 2 Au 2.66-2.80, 4 Ce 2.72-2.76
Au  0.1601  0.5000  0.6311 (multiplicity 2)  1 Co 2.66, 1 Au 2.82
Au  0.4424  0.5000  0.1592 (multiplicity 2)  1 Co 2.80, 2 Au 3.03-3.04, 2 Ce 3.13
Au  0.5000  0.5000  0.5000 (multiplicity 1)  4 Au 2.82-3.04, 4 Ce 3.11

A plane-wave DFT calculation with GGA-PBE was carried out for a geometry-optimized Ce4CoAu2 structure.

Calculated values
Crystal system: monoclinic
Formation enthalpy at 0 K (kcal/mol of atoms): -5.383
Polymorph energy (0 for the lowest one) (meV/atom): 86
Density (g cm⁻³): 9.08
Size of the total moment (Bohr magnetons per cell): 3.21

a b c (Å): 6.3748 3.6447 8.2784
angles (deg): 90.00 105.54 90.00
Closest atoms and distances in Å follow each position.
Space group P2/m (No. 10)
Symmetry-distinct sites (fractional):
Ce  0.1867  0.0000  0.3603 (multiplicity 2)  1 Co 2.90, 4 Au 3.06-3.18
Ce  0.2629  0.5000  0.9696 (multiplicity 2)  2 Co 2.53
Co  0.0000  0.0000  0.0000 (multiplicity 1)  4 Ce 2.53
Au  0.4096  0.5000  0.6533 (multiplicity 2)  6 Ce 3.01-3.26, 1 Au 3.06

A plane-wave DFT calculation with GGA-PBE was carried out for a geometry-optimized Ce4CoAu structure.

Calculated values
Crystal system: monoclinic
Formation enthalpy at 0 K (kcal/mol of atoms): -5.661
Polymorph energy (0 for the lowest one) (meV/atom): 5
Density (g cm⁻³): 9.99
Size of the total moment (Bohr magnetons per cell): 0.00

a b c (Å): 8.4672 12.5489 5.5304
angles (deg): 90.00 112.60 90.00
Closest atoms and distances in Å follow each position.
Space group C2/c (No. 15)
Symmetry-distinct sites (fractional):
Ce  0.1157  0.1961  0.1134 (multiplicity 8)  3 Ce 2.90-2.96, 2 Co 2.92-3.04, 1 Au 3.12
Ce  0.2328  0.4049  0.3706 (multiplicity 8)  2 Co 2.77-2.80, 2 Ce 2.93-2.96, 1 Au 3.10
Co  0.0000  0.0169  0.7500 (multiplicity 4)  8 Ce 2.77-3.04, 2 Co 2.80
Au  0.0000  0.3956  0.7500 (multiplicity 4)  10 Ce 3.10-3.39

Q: Look up the formation enthalpy at 0 K of the fourth one.
A: -5.661 kcal/mol of atoms

Q: The highest formation enthalpy at 0 K belongs to which entry?
A: Ce4CoAu2